Computed, not measured: an optimized crystal structure of CuReIr at the PBE level of DFT.

## Properties
Size of the total moment in μB/atom: 0.00
Uncorrected energy in Ry/atom: -0.61835
Energy above the lowest structure with this stoichiometry in kJ per mole of atoms: 2.6
E_form in eV/f.u.: 0.2
Space-group type: I4mm

Geometry as POSCAR:
```
CuReIr
1.0
-1.382 1.382 5.466
1.382 -1.382 5.466
1.382 1.382 -5.466
Cu Re Ir
1 1 1
direct
0.000 0.000 0.000
0.667 0.667 0.000
0.331 0.331 0.000
```


Computed, not measured: an optimized crystal structure of CuReIr2 at the PBE level of DFT.

## Properties
Size of the total moment in μB/atom: 0.44
Uncorrected energy in Ry/atom: -0.60662
Energy above the lowest structure with this stoichiometry in kJ per mole of atoms: 39.3
E_form in eV/f.u.: 1.3
Space-group type: Fm-3m

Geometry as POSCAR:
```
CuReIr2
1.0
0.000 3.067 3.067
3.067 0.000 3.067
3.067 3.067 0.000
Cu Re Ir
1 1 2
direct
0.000 0.000 0.000
0.500 0.500 0.500
0.250 0.250 0.250
0.750 0.750 0.750
```


Computed, not measured: an optimized crystal structure of CuReIr2 at the PBE level of DFT.

## Properties
Size of the total moment in μB/atom: 0.00
Uncorrected energy in Ry/atom: -0.62220
Energy above the lowest structure with this stoichiometry in kJ per mole of atoms: 18.8
E_form in eV/f.u.: 0.4
Space-group type: Cmmm

Geometry as POSCAR:
```
CuReIr2
1.0
2.744 -3.788 0.000
2.744 3.788 0.000
0.000 0.000 2.731
Cu Re Ir
1 1 2
direct
0.000 0.000 0.000
0.500 0.500 0.000
0.000 0.500 0.500
0.500 0.000 0.500
```


Computed, not measured: an optimized crystal structure of CuReIr2 at the PBE level of DFT.

## Properties
Size of the total moment in μB/atom: 0.00
Uncorrected energy in Ry/atom: -0.60044
Energy above the lowest structure with this stoichiometry in kJ per mole of atoms: 47.4
E_form in eV/f.u.: 1.6
Space-group type: F-43m

Geometry as POSCAR:
```
CuReIr2
1.0
0.000 3.059 3.059
3.059 0.000 3.059
3.059 3.059 0.000
Cu Re Ir
1 1 2
direct
0.000 0.000 0.000
0.250 0.250 0.250
0.500 0.500 0.500
0.750 0.750 0.750
```


Computed, not measured: an optimized crystal structure of CuReIr at the PBE level of DFT.

## Properties
Size of the total moment in μB/atom: 0.00
Uncorrected energy in Ry/atom: -0.61714
Energy above the lowest structure with this stoichiometry in kJ per mole of atoms: 4.1
E_form in eV/f.u.: 0.2
Space-group type: P3m1

Geometry as POSCAR:
```
CuReIr
1.0
2.725 0.000 0.000
-1.363 2.360 0.000
0.000 0.000 6.586
Cu Re Ir
1 1 1
direct
0.000 0.000 0.000
0.333 0.667 0.665
0.667 0.333 0.337
```


Computed, not measured: an optimized crystal structure of CuReIr2 at the PBE level of DFT.

## Properties
Size of the total moment in μB/atom: 0.00
Uncorrected energy in Ry/atom: -0.62130
Energy above the lowest structure with this stoichiometry in kJ per mole of atoms: 20.0
E_form in eV/f.u.: 0.5
Space-group type: P4mm

Geometry as POSCAR:
```
CuReIr2
1.0
2.728 0.000 0.000
0.000 2.728 0.000
0.000 0.000 7.561
Cu Re Ir
1 1 2
direct
0.000 0.000 0.000
0.500 0.500 0.752
0.000 0.000 0.501
0.500 0.500 0.240
```